# 1
## TaMn2Sb (PBE)

Data for an optimized crystal structure of TaMn2Sb.

Cell and atoms, written as POSCAR:
```
TaMn2Sb
1.0
1.911 -2.307 0.000
1.911 2.307 0.000
0.000 0.000 7.445
Ta Mn Sb
1 2 1
Direct
0.000 0.000 0.000
0.000 0.000 0.577
0.500 0.500 0.767
0.500 0.500 0.304
```

Properties
* formation energy (no corrections): 27 kJ per mole of atoms
* E_tot: -33.2 eV/f.u.

# 2
## Mg5Mn (PBE)

Data for an optimized crystal structure of Mg5Mn.

Cell and atoms, written as POSCAR:
```
Mg5Mn
1.0
3.319 0.000 0.000
0.000 3.319 0.000
0.000 0.000 11.288
Mg Mn
5 1
Direct
0.000 0.000 0.000
0.000 0.000 0.363
0.000 0.000 0.637
0.500 0.500 0.184
0.500 0.500 0.816
0.500 0.500 0.500
```

Properties
* formation enthalpy at 0 K: 0.6 eV/f.u.
* E_tot: -16.5 eV/f.u.

# 3
## YbMnZn2 (PBE)

Data for an optimized crystal structure of YbMnZn2.

Cell and atoms, written as POSCAR:
```
YbMnZn2
1.0
4.462 0.000 0.000
0.000 6.723 0.000
-2.221 0.000 5.003
Yb Mn Zn
2 2 4
Direct
0.083 0.250 0.165
0.917 0.750 0.835
0.212 0.750 0.424
0.788 0.250 0.576
0.371 0.060 0.742
0.371 0.440 0.742
0.629 0.560 0.258
0.629 0.940 0.258
```

Properties
* formation enthalpy at 0 K: -0.2 eV/f.u.
* E_tot: -13.5 eV/f.u.

# 4
## LiRh3Au (PBE)

Data for an optimized crystal structure of LiRh3Au.

Cell and atoms, written as POSCAR:
```
LiRh3Au
1.0
4.172 0.000 0.000
0.000 4.172 0.000
0.000 0.000 4.172
Li Rh Au
1 3 1
Direct
0.000 0.000 0.000
0.000 0.000 0.500
0.000 0.500 0.000
0.500 0.000 0.000
0.500 0.500 0.500
```

Properties
* formation enthalpy at 0 K: 3.3 eV/f.u.
* E_tot: -23.9 eV/f.u.

# 5
## Tb6DyIn2 (PBE)

Data for an optimized crystal structure of Tb6DyIn2.

Cell and atoms, written as POSCAR:
```
Tb6DyIn2
1.0
5.506 -2.386 0.000
5.506 2.386 0.000
-3.387 0.000 9.918
Tb Dy In
6 1 2
Direct
0.007 0.007 0.174
0.329 0.329 0.610
0.329 0.329 0.946
0.671 0.671 0.054
0.671 0.671 0.390
0.993 0.993 0.826
0.000 0.000 0.500
0.340 0.340 0.283
0.660 0.660 0.717
```

Properties
* formation enthalpy at 0 K: -1.8 eV/f.u.
* E_tot: -39.7 eV/f.u.

# 6
## K2Cd2Sb3 (PBE)

Data for an optimized crystal structure of K2Cd2Sb3.

Cell and atoms, written as POSCAR:
```
K2Cd2Sb3
1.0
2.498 -12.639 0.000
2.498 12.639 0.000
0.000 0.000 7.552
K Cd Sb
4 4 6
Direct
0.025 0.975 0.750
0.165 0.835 0.250
0.835 0.165 0.750
0.975 0.025 0.250
0.310 0.690 0.045
0.310 0.690 0.455
0.690 0.310 0.545
0.690 0.310 0.955
0.228 0.772 0.750
0.419 0.581 0.565
0.419 0.581 0.935
0.581 0.419 0.065
0.581 0.419 0.435
0.772 0.228 0.250
```

Properties
* formation energy (no corrections): -25 kJ per mole of atoms
* E_tot: -18.2 eV/f.u.

# 7
## ScH3Pd6 (PBE)

Data for an optimized crystal structure of ScH3Pd6.

Cell and atoms, written as POSCAR:
```
ScH3Pd6
1.0
5.447 0.000 0.000
-2.444 4.877 0.000
-1.572 -2.382 4.931
Sc H Pd
1 3 6
Direct
0.000 0.000 0.000
0.319 0.671 0.989
0.464 0.187 0.648
0.761 0.578 0.344
0.002 0.985 0.487
0.421 0.901 0.814
0.423 0.905 0.326
0.496 0.482 0.487
0.515 0.477 0.993
0.915 0.396 0.812
```

Properties
* E_tot: -50.4 eV/f.u.

# 8
## Pu3BeGe2 (PBE)

Data for an optimized crystal structure of Pu3BeGe2.

Cell and atoms, written as POSCAR:
```
Pu3BeGe2
1.0
11.862 0.000 0.000
0.000 3.867 0.000
0.000 0.000 10.227
Pu Be Ge
12 4 8
Direct
0.047 0.250 0.090
0.131 0.750 0.582
0.207 0.250 0.735
0.293 0.750 0.235
0.369 0.250 0.082
0.453 0.750 0.590
0.547 0.250 0.410
0.631 0.750 0.918
0.707 0.250 0.765
0.793 0.750 0.265
0.869 0.250 0.418
0.953 0.750 0.910
0.129 0.250 0.356
0.371 0.750 0.856
0.629 0.250 0.144
0.871 0.750 0.644
0.041 0.750 0.306
0.201 0.750 0.961
0.299 0.250 0.461
0.459 0.250 0.806
0.541 0.750 0.194
0.701 0.750 0.539
0.799 0.250 0.039
0.959 0.250 0.694
```

Properties
* formation enthalpy at 0 K: -1.7 eV/f.u.
* E_tot: -57.7 eV/f.u.

# 9
## TbHo2HfP4 (PBE)

Data for an optimized crystal structure of TbHo2HfP4.

Cell and atoms, written as POSCAR:
```
TbHo2HfP4
1.0
6.777 0.000 0.000
0.000 3.909 0.000
-2.235 0.000 6.402
Tb Ho Hf P
1 2 1 4
Direct
0.000 0.000 0.000
0.500 0.000 0.500
0.500 0.500 0.000
0.000 0.500 0.500
0.238 0.000 0.736
0.245 0.500 0.259
0.755 0.500 0.741
0.762 0.000 0.264
```

Properties
* formation enthalpy at 0 K: -12.2 eV/f.u.
* E_tot: -57.6 eV/f.u.

# 10
## BaGdTl (PBE)

Data for an optimized crystal structure of BaGdTl.

Cell and atoms, written as POSCAR:
```
BaGdTl
1.0
-2.000 2.000 7.078
2.000 -2.000 7.078
2.000 2.000 -7.078
Ba Gd Tl
1 1 1
Direct
0.000 0.000 0.000
0.284 0.284 0.000
0.670 0.670 0.000
```

Properties
* formation enthalpy at 0 K: -0.5 eV/f.u.
* E_tot: -18.9 eV/f.u.

Number 1: DOS(E_F) 3.694 states/eV/cell, volume 16.41 Å³ per atom. Number 2: DOS(E_F) 2.292 states/eV/cell, volume 20.73 Å³ per atom. Number 3: DOS(E_F) 5.487 states/eV/cell, volume 18.76 Å³ per atom. Number 4: DOS(E_F) 8.327 states/eV/cell, volume 14.52 Å³ per atom. Number 5: DOS(E_F) 11.799 states/eV/cell, volume 28.96 Å³ per atom. Number 6: DOS(E_F) 3.676 states/eV/cell, volume 34.06 Å³ per atom. Number 7: DOS(E_F) 2.606 states/eV/cell, volume 13.10 Å³ per atom. Number 8: DOS(E_F) 65.936 states/eV/cell, volume 19.55 Å³ per atom. Number 9: DOS(E_F) 1.437 states/eV/cell, volume 21.20 Å³ per atom. Number 10: DOS(E_F) 4.653 states/eV/cell, volume 37.75 Å³ per atom.